Density functional theory data (PBE) for Nd4SbTe after structural relaxation. Values from VASP.

The structure in Quantum ESPRESSO input format:
```
&SYSTEM
  ibrav = 0, nat = 12, ntyp = 3
/
ATOMIC_SPECIES
Sb 121.76 Sb.upf
Nd 144.24 Nd.upf
Te 127.60 Te.upf
CELL_PARAMETERS angstrom
5.7550 -0.0049 -0.0014
-0.0056 7.8391 -0.3843
-2.8766 -3.5726 8.8398
ATOMIC_POSITIONS crystal
Sb 0.7506 0.7500 0.0000
Sb 0.2494 0.2500 0.0000
Nd 0.1783 0.5344 0.8558
Nd 0.0717 0.9260 0.6439
Nd 0.6775 0.0345 0.8558
Nd 0.8217 0.4656 0.1442
Nd 0.4277 0.5740 0.3561
Nd 0.3225 0.9655 0.1442
Nd 0.5723 0.4260 0.6439
Nd 0.9283 0.0740 0.3561
Te 0.5000 0.0000 0.5000
Te 0.0000 0.5000 0.5000
```

**E_form (uncorrected)**: -0.629 eV/atom

***

Density functional theory data (PBE) for NdSbTe after structural relaxation. Values from VASP.

The structure in Quantum ESPRESSO input format:
```
&SYSTEM
  ibrav = 0, nat = 6, ntyp = 3
/
ATOMIC_SPECIES
Nd 144.24 Nd.upf
Te 127.60 Te.upf
Sb 121.76 Sb.upf
CELL_PARAMETERS angstrom
4.0649 0.0000 0.0000
0.0000 4.0649 0.0000
-2.0325 -2.0325 11.7292
ATOMIC_POSITIONS crystal
Nd 0.3639 0.3639 0.7278
Nd 0.6361 0.6361 0.2722
Te 0.0736 0.0736 0.1471
Te 0.9264 0.9264 0.8529
Sb 0.7846 0.7846 0.5692
Sb 0.2154 0.2154 0.4308
```

**E_form (uncorrected)**: -0.885 eV/atom

***

Density functional theory data (PBE) for Nd2SbTe4 after structural relaxation. Values from VASP.

The structure in Quantum ESPRESSO input format:
```
&SYSTEM
  ibrav = 0, nat = 7, ntyp = 3
/
ATOMIC_SPECIES
Te 127.60 Te.upf
Nd 144.24 Nd.upf
Sb 121.76 Sb.upf
CELL_PARAMETERS angstrom
4.4918 0.0000 0.0000
0.0000 7.8295 -0.0848
-2.2459 -3.8999 7.3292
ATOMIC_POSITIONS crystal
Te 0.8826 0.2133 0.7651
Te 0.6280 0.2913 0.2560
Te 0.1174 0.7867 0.2349
Te 0.3720 0.7087 0.7440
Nd 0.2581 0.2428 0.5163
Nd 0.7419 0.7572 0.4837
Sb 0.0000 0.0000 0.0000
```

**E_form (uncorrected)**: -0.915 eV/atom

***

Density functional theory data (PBE) for Nd4Sb3Te after structural relaxation. Values from VASP.

The structure in Quantum ESPRESSO input format:
```
&SYSTEM
  ibrav = 0, nat = 8, ntyp = 3
/
ATOMIC_SPECIES
Nd 144.24 Nd.upf
Sb 121.76 Sb.upf
Te 127.60 Te.upf
CELL_PARAMETERS angstrom
6.3897 0.0000 0.0000
0.0000 6.3897 0.0000
0.0000 0.0000 6.3897
ATOMIC_POSITIONS crystal
Nd 0.0000 0.5000 0.0000
Nd 0.5000 0.0000 0.0000
Nd 0.0000 0.0000 0.5000
Nd 0.5000 0.5000 0.5000
Sb 0.5000 0.5000 0.0000
Sb 0.0000 0.5000 0.5000
Sb 0.5000 0.0000 0.5000
Te 0.0000 0.0000 0.0000
```

**E above lowest polymorph**: 7 meV per atom
**E_form (uncorrected)**: -1.275 eV/atom

***

no.,VASP energy (eV per atom)
1,-5.02
2,-4.90
3,-4.66
4,-5.60